1.
VASP calculation (PBE-GGA) on an optimized crystal structure of InTcPt2.

a = 4.8646 Å, b = 4.8646 Å, c = 4.8646 Å
α = 130.18°, β = 130.18°, γ = 73.12°
Each line ends with the local moment (μB).
Atoms (fractional coordinates):
Pt: 0.2500 0.7500 0.5000  0.05
Pt: 0.0000 0.0000 0.0000  0.04
In: 0.7500 0.2500 0.5000  0.00
Tc: 0.5000 0.5000 0.0000  0.47

Output
Density of states at the Fermi level   4.2 states/eV/f.u.
Magnetic moment   0.600 μB per cell
VASP energy   -6.3319 eV per atom
Space-group type   No. 119
Energy of formation   -35 meV/atom



2.
VASP calculation (PBE-GGA) on an optimized crystal structure of YCo3Sn.

a = 4.6717 Å, b = 4.6717 Å, c = 4.6717 Å
α = 90.00°, β = 90.00°, γ = 90.00°
Each line ends with the local moment (μB).
Atoms (fractional coordinates):
Co: 0.0000 0.0000 0.5000  1.29
Co: 0.5000 0.0000 0.0000  1.36
Co: 0.0000 0.5000 0.0000  1.25
Sn: 0.0000 0.0000 0.0000  -0.07
Y: 0.5000 0.5000 0.5000  -0.23

Output
Density of states at the Fermi level   4.3 states/eV/f.u.
Magnetic moment   3.168 μB per cell
VASP energy   -5.6780 eV per atom
Space-group type   No. 221
Energy of formation   679 meV/atom



3.
VASP calculation (PBE-GGA) on an optimized crystal structure of EuGdMgRh.

a = 5.1587 Å, b = 5.1587 Å, c = 5.1587 Å
α = 60.00°, β = 60.00°, γ = 60.00°
Each line ends with the local moment (μB).
Atoms (fractional coordinates):
Rh: 0.5000 0.5000 0.5000  -0.05
Eu: 0.2500 0.2500 0.2500  6.75
Mg: 0.0000 0.0000 0.0000  0.00
Gd: 0.7500 0.7500 0.7500  -7.03

Output
Density of states at the Fermi level   4.5 states/eV/f.u.
Magnetic moment   0.305 μB per cell
VASP energy   -8.5755 eV per atom
Space-group type   No. 216
Energy of formation   -250 meV/atom



4.
VASP calculation (PBE-GGA) on an optimized crystal structure of NaPH3.

a = 3.6870 Å, b = 3.6870 Å, c = 3.6870 Å
α = 90.00°, β = 90.00°, γ = 90.00°
Atoms (fractional coordinates):
H: 0.0000 0.0000 0.5000
H: 0.5000 0.0000 0.0000
H: 0.0000 0.5000 0.0000
Na: 0.0000 0.0000 0.0000
P: 0.5000 0.5000 0.5000

Output
Density of states at the Fermi level   1.8 states/eV/f.u.
Magnetic moment   0.000 μB per cell
VASP energy   -2.2098 eV per atom
Space-group type   No. 221



5.
VASP calculation (PBE-GGA) on an optimized crystal structure of Zr3Tl3CrSe8.

a = 7.6050 Å, b = 7.6067 Å, c = 9.2568 Å
α = 114.27°, β = 90.00°, γ = 119.99°
Each line ends with the local moment (μB).
Atoms (fractional coordinates):
Tl: 0.0000 0.0000 0.0000  0.00
Tl: 0.5000 0.5000 0.0000  0.00
Tl: 0.0000 0.5000 0.0000  0.00
Zr: 0.5000 0.0000 0.5000  -0.01
Zr: 0.0000 0.5000 0.5000  -0.01
Zr: 0.5000 0.5000 0.5000  -0.01
Se: 0.2238 0.9667 0.6906  -0.03
Se: 0.2668 0.5336 0.3003  0.00
Se: 0.2240 0.4480 0.6907  -0.03
Se: 0.7760 0.5520 0.3093  -0.03
Se: 0.2571 0.0333 0.3094  -0.03
Se: 0.7332 0.4664 0.6997  0.00
Se: 0.7762 0.0333 0.3094  -0.03
Se: 0.7429 0.9667 0.6906  -0.03
Cr: 0.0000 0.0000 0.5000  3.06

Output
Density of states at the Fermi level   8.3 states/eV/f.u.
Magnetic moment   3.061 μB per cell
VASP energy   -5.6094 eV per atom
Formation energy from raw total energies   -927 meV/atom
Space-group type   No. 166



6.
VASP calculation (PBE-GGA) on an optimized crystal structure of LiMgAg2Au.

a = 5.2870 Å, b = 5.3003 Å, c = 7.4888 Å
α = 110.72°, β = 90.00°, γ = 90.00°
Atoms (fractional coordinates):
Au: 0.2500 0.2461 0.4923
Au: 0.7500 0.7539 0.5077
Li: 0.2500 0.8519 0.7039
Li: 0.7500 0.1481 0.2961
Ag: 0.5000 0.7499 0.0000
Ag: 0.0000 0.2501 0.0000
Ag: 0.0000 0.7499 0.0000
Ag: 0.5000 0.2501 0.0000
Mg: 0.2500 0.6591 0.3182
Mg: 0.7500 0.3409 0.6818

Output
Density of states at the Fermi level   1.8 states/eV/f.u.
Magnetic moment   0.000 μB per cell
VASP energy   -2.5974 eV per atom
Space-group type   No. 63
Energy of formation   -100 meV/atom



7.
VASP calculation (PBE-GGA) on an optimized crystal structure of ScTaCo2.

a = 6.7190 Å, b = 6.7190 Å, c = 5.5143 Å
α = 52.47°, β = 52.47°, γ = 90.00°
Atoms (fractional coordinates):
Co: 0.6437 0.1250 0.2500
Co: 0.1063 0.6250 0.2500
Co: 0.3750 0.3563 0.7500
Co: 0.8750 0.8937 0.7500
Sc: 0.2500 0.7500 0.5000
Sc: 0.5000 0.5000 0.0000
Ta: 0.0000 0.0000 0.0000
Ta: 0.7500 0.2500 0.5000

Output
Density of states at the Fermi level   2.9 states/eV/f.u.
Magnetic moment   0.000 μB per cell
VASP energy   -7.8685 eV per atom
Space-group type   No. 122
Energy of formation   230 meV/atom



8.
VASP calculation (PBE-GGA) on an optimized crystal structure of Be2SiTe.

a = 4.4756 Å, b = 4.4756 Å, c = 4.4756 Å
α = 60.00°, β = 60.00°, γ = 60.00°
Atoms (fractional coordinates):
Te: 0.7500 0.7500 0.7500
Be: 0.2500 0.2500 0.2500
Be: 0.0000 0.0000 0.0000
Si: 0.5000 0.5000 0.5000

Output
Density of states at the Fermi level   2.1 states/eV/f.u.
Magnetic moment   0.000 μB per cell
VASP energy   -3.0636 eV per atom
Formation energy from raw total energies   941 meV/atom
Space-group type   No. 216